A plane-wave DFT calculation with PBE was carried out for an optimized crystal structure of Dy5Ag2Rh2.

CIF file:
```
data_Dy5Ag2Rh2
_chemical_formula_sum 'Dy20 Ag8 Rh8'
_symmetry_space_group_name_H-M 'C m c e'
_symmetry_Int_Tables_number 64
_symmetry_space_group_name_Hall '-C 2ac 2'
_cell_length_a 15.652
_cell_length_b 7.404
_cell_length_c 7.562
_cell_angle_alpha 90.00
_cell_angle_beta 90.00
_cell_angle_gamma 90.00
loop_
_atom_site_label
_atom_site_fract_x
_atom_site_fract_y
_atom_site_fract_z
Dy1 0.000 0.000 0.000
Dy2 0.126 0.170 0.328
Ag1 0.212 0.000 0.000
Rh1 0.000 0.134 0.635
```

Output
Crystal system = orthorhombic
Energy of formation = -0.5419 eV/atom

A plane-wave DFT calculation with PBE was carried out for an optimized crystal structure of Pr2Te.

CIF file:
```
data_Pr2Te
_chemical_formula_sum 'Pr8 Te4'
_symmetry_space_group_name_H-M 'P n m a'
_symmetry_Int_Tables_number 62
_symmetry_space_group_name_Hall '-P 2ac 2n'
_cell_length_a 8.625
_cell_length_b 4.094
_cell_length_c 11.165
_cell_angle_alpha 90.00
_cell_angle_beta 90.00
_cell_angle_gamma 90.00
loop_
_atom_site_label
_atom_site_fract_x
_atom_site_fract_y
_atom_site_fract_z
Pr1 0.015 0.250 0.173
Pr2 0.164 0.750 0.444
Te1 0.189 0.250 0.669
```

Output
ΔE_f (raw) = -941 meV per atom
Crystal system = orthorhombic